Density functional theory data (GGA-PBE) for crystalline KPaGa2I8 at its relaxed geometry.

Cell: 8.0196 7.4480 9.9227 Å, 89.96 90.09 89.37°
Atoms (fractional coordinates):
Ga  0.5003  0.5004  0.7189
Ga  0.4997  0.4996  0.2811
I  0.1478  0.7605  0.2098
I  0.3499  0.2775  0.5002
I  0.6501  0.7225  0.4998
I  0.1484  0.7611  0.7908
I  0.8516  0.2389  0.2092
I  0.8522  0.2395  0.7902
I  0.6977  0.7823  0.9992
I  0.3023  0.2177  0.0008
Pa  0.0000  0.0000  0.0000
K  0.0000  0.0000  0.5000

Calculated values
Formation energy without anion corrections, meV/atom: -808
Mass density, Mg/m³: 3.99


Density functional theory data (GGA-PBE) for crystalline CsPm2Cr2N6 at its relaxed geometry.

Cell: 6.6278 6.5696 6.8366 Å, 116.25 90.01 59.70°
Each line ends with the local moment (μB).
Atoms (fractional coordinates):
N  0.9221  0.1557  0.3943  0.06
N  0.9725  0.6383  0.8706  0.09
N  0.0779  0.8443  0.6057  0.06
N  0.6108  0.3615  0.1293  0.09
N  0.0275  0.3617  0.1294  0.09
N  0.3892  0.6385  0.8707  0.09
Pm  0.1828  0.6343  0.2008  0.00
Pm  0.8172  0.3657  0.7992  0.00
Cr  0.8864  0.2272  0.1805  -0.04
Cr  0.1136  0.7728  0.8195  -0.04
Cs  0.5000  0.0000  0.5000  0.00

Calculated values
Formation energy without anion corrections, meV/atom: -548
Mass density, Mg/m³: 4.60


Density functional theory data (GGA-PBE) for crystalline DyY3Ga2 at its relaxed geometry.

Cell: 4.9529 6.6060 9.4989 Å, 90.00 90.00 90.00°
Atoms (fractional coordinates):
Y  0.5000  0.1719  0.8201
Y  0.5000  0.6719  0.1799
Y  0.0000  0.8275  0.6791
Y  0.0000  0.4651  0.9491
Y  0.0000  0.3275  0.3209
Y  0.0000  0.9651  0.0509
Dy  0.5000  0.0348  0.4496
Dy  0.5000  0.5348  0.5504
Ga  0.5000  0.2092  0.1397
Ga  0.5000  0.7092  0.8603
Ga  0.0000  0.2914  0.6397
Ga  0.0000  0.7914  0.3603

Calculated values
Mass density, Mg/m³: 6.08
E above lowest polymorph, eV/f.u.: 0.00